Crystalline CsRb2MnS4 at its relaxed geometry, computed with GGA-PBE.

Values from the calculation:
Symmetry: I-42m
Total magnetic moment: 2.0 μB per formula unit
Uncorrected formation energy: -84.1 kJ/mol of atoms

Cell lengths 8.1313, 7.2228, 7.2228 Å; angles 74.50, 55.74, 55.74 degrees
Closest atoms and distances in Å follow each position.
Element x y z (fractional)
Cs1 0.0000 0.0000 0.0000  4 S 3.63
Rb1 0.5000 0.7498 0.2502  4 S 3.24
Rb2 0.5000 0.2502 0.7498  4 S 3.24
Mn1 0.0000 0.5000 0.5000  4 S 2.12
S1 0.6950 0.5161 0.7889  1 Mn 2.12
S2 0.3050 0.2111 0.4839  1 Mn 2.12
S3 0.0001 0.4839 0.2111  1 Mn 2.12
S4 0.9999 0.7889 0.5161  1 Mn 2.12